A:
AlSb3Pb (PBE, relaxed); density of states at the Fermi level = 3.481 states/eV/cell; space group = Pm-3m
1.0
-1.5152 -2.4965 4.4702
-0.5158 -4.5637 -2.7235
5.0940 -1.2047 1.0539
Pb Sb Al
1 3 1
direct
0.5000 0.5000 0.5000
0.0000 0.5000 0.0000
0.0000 0.0000 0.5000
0.5000 0.0000 0.0000
0.0000 0.0000 0.0000


B:
AlSb3Pb (PBE, relaxed); density of states at the Fermi level = 5.143 states/eV/cell; space group = Pm-3m
1.0
5.7929 0.0000 0.0000
0.0000 5.7929 0.0000
0.0000 0.0000 5.7929
Pb Sb Al
1 3 1
direct
0.0000 0.0000 0.0000
0.0000 0.5000 0.0000
0.0000 0.0000 0.5000
0.5000 0.0000 0.0000
0.5000 0.5000 0.5000


The structure with the least stability is B.


A:
ScAlPb (PBE, relaxed); density of states at the Fermi level = 2.485 states/eV/cell; space group = P3m1
1.0
-2.5149 -1.3714 -4.0330
0.8805 -3.2774 3.5991
-2.7530 0.8341 1.4331
Pb Sc Al
1 1 1
direct
0.3333 0.6667 0.1721
0.6667 0.3333 0.6668
0.0000 0.0000 0.1610


B:
ScAlPb (PBE, relaxed); density of states at the Fermi level = 6.455 states/eV/cell; space group = C2/m
1.0
4.3175 0.0000 -0.0042
0.0000 4.3388 0.0000
-0.9670 0.0000 14.2448
Pb Sc Al
4 4 4
direct
0.0326 0.0000 0.1630
0.9674 0.0000 0.8370
0.0326 0.5000 0.6630
0.9674 0.5000 0.3370
0.4746 0.0000 0.3609
0.5254 0.0000 0.6391
0.4746 0.5000 0.8609
0.5254 0.5000 0.1391
0.5000 0.5000 0.5000
0.5000 0.0000 0.0000
0.0000 0.5000 0.0000
0.0000 0.0000 0.5000


C:
ScAlPb (PBE, relaxed); density of states at the Fermi level = 2.946 states/eV/cell; space group = Cm
1.0
-4.9303 1.9204 -3.4854
-1.6143 -0.4718 -6.1095
2.1296 -2.8172 5.2614
Pb Sc Al
1 1 1
direct
0.3376 0.3387 0.9990
0.6496 0.6487 0.0008
0.0128 0.0126 0.0002


The structure with the least stability is A.


A:
Sc2Al2Pb (PBE, relaxed); density of states at the Fermi level = 6.003 states/eV/cell; space group = P4/mbm
1.0
-1.2931 -7.8013 0.7531
5.3071 -1.4332 -5.7341
2.5079 -0.1871 2.3679
Pb Sc Al
2 4 4
direct
0.0000 0.0000 0.0000
0.5000 0.5000 0.0000
0.1800 0.6800 0.5000
0.6800 0.8200 0.5000
0.8200 0.3200 0.5000
0.3200 0.1800 0.5000
0.3853 0.8853 0.0000
0.8853 0.6147 0.0000
0.6147 0.1147 0.0000
0.1147 0.3853 0.0000


B:
Sc2Al2Pb (PBE, relaxed); density of states at the Fermi level = 6.414 states/eV/cell; space group = P4/mbm
1.0
8.1485 0.0000 0.0000
0.0000 8.1485 0.0000
0.0000 0.0000 3.3815
Pb Sc Al
2 4 4
direct
0.0000 0.0000 0.0000
0.5000 0.5000 0.0000
0.3683 0.8683 0.0000
0.8683 0.6317 0.0000
0.6317 0.1317 0.0000
0.1317 0.3683 0.0000
0.1713 0.6713 0.5000
0.6713 0.8287 0.5000
0.8287 0.3287 0.5000
0.3287 0.1713 0.5000


C:
Sc2Al2Pb (PBE, relaxed); density of states at the Fermi level = 5.395 states/eV/cell; space group = I4/mmm
1.0
-1.9698 -4.0644 -0.0468
0.6397 -0.2586 -4.4638
4.7428 -4.7931 -1.3279
Pb Sc Al
1 2 2
direct
0.0000 0.0000 0.0000
0.7500 0.2500 0.5000
0.2500 0.7500 0.5000
0.3974 0.3974 0.2053
0.6026 0.6026 0.7947


The structure with the least stability is C.


A:
AlPb2Se (PBE, relaxed); density of states at the Fermi level = 2.186 states/eV/cell; space group = I-4m2
1.0
-6.0172 1.8994 0.9911
-4.6707 -1.3465 -4.1434
4.7582 -2.9260 3.0975
Pb Al Se
2 1 1
direct
0.0000 0.0000 0.0000
0.2500 0.7500 0.5000
0.7500 0.2500 0.5000
0.5000 0.5000 0.0000


B:
AlPb2Se (PBE, relaxed); density of states at the Fermi level = 0.924 states/eV/cell; space group = Pmmm
1.0
4.5986 0.0000 0.0000
0.0000 4.0130 0.0000
0.0000 0.0000 6.0258
Pb Al Se
2 1 1
direct
0.0000 0.0000 0.8748
0.5000 0.5000 0.3749
0.5000 0.5000 0.8749
0.0000 0.0000 0.3754


The structure with the least stability is A.


A:
AlPb2Se (PBE, relaxed); density of states at the Fermi level = 1.681 states/eV/cell; space group = R3m
1.0
9.5264 -0.0738 -0.0436
8.8283 3.5805 -0.0436
8.8283 1.6867 3.1586
Pb Al Se
2 1 1
direct
0.0127 0.0127 0.0127
0.2549 0.2549 0.2549
0.7603 0.7603 0.7603
0.4721 0.4721 0.4721


B:
AlPb2Se (PBE, relaxed); density of states at the Fermi level = 2.952 states/eV/cell; space group = F-43m
1.0
5.2919 0.0000 0.0000
2.6459 4.5829 0.0000
2.6459 1.5276 4.3208
Pb Al Se
2 1 1
direct
0.0000 0.0000 0.0000
0.2500 0.2500 0.2500
0.5000 0.5000 0.5000
0.7500 0.7500 0.7500


The structure with the least stability is B.


A:
AlPb2Se (PBE, relaxed); density of states at the Fermi level = 1.405 states/eV/cell; space group = R-3m
1.0
-7.2548 3.4084 -2.2161
-8.0083 1.7746 1.3705
-6.2462 5.3719 1.1348
Pb Al Se
2 1 1
direct
0.9991 0.9991 0.9991
0.5009 0.5009 0.5009
0.7500 0.7500 0.7500
0.2500 0.2500 0.2500


B:
AlPb2Se (PBE, relaxed); density of states at the Fermi level = 1.647 states/eV/cell; space group = C2/m
1.0
-5.5828 -0.0867 -1.0886
-4.2749 -3.7129 -0.5469
-2.6310 -0.2367 4.7676
Pb Al Se
2 1 1
direct
0.0122 0.0122 0.9871
0.4878 0.4878 0.5129
0.2500 0.2500 0.2500
0.7500 0.7500 0.7500


C:
AlPb2Se (PBE, relaxed); density of states at the Fermi level = 2.139 states/eV/cell; space group = P4mm
1.0
-2.8181 0.3425 -1.9408
-1.9708 -0.4938 2.7745
-0.0060 8.6882 1.5419
Pb Al Se
2 1 1
direct
0.0000 0.0000 0.9660
0.5000 0.5000 0.2657
0.5000 0.5000 0.6934
0.0000 0.0000 0.5748


The structure with the least stability is B.